Entry 1:
Here is a geometry-optimized Mn2InFe2 structure from Alexandria. Energies are from PBE-GGA.

Summary:
- N(E_F): 14.45 states/eV/cell
- Formation energy from the elements: 0.35 eV/atom

Cell and atoms, written as CIF:
```
data_Mn2InFe2
_chemical_formula_sum 'Mn4 In2 Fe4'
_cell_length_a 6.947
_cell_length_b 6.947
_cell_length_c 2.611
_cell_angle_alpha 90.00
_cell_angle_beta 90.00
_cell_angle_gamma 90.00
_symmetry_space_group_name_H-M 'P 1'
_symmetry_Int_Tables_number 1
loop_
_symmetry_equiv_pos_as_xyz
'x,y,z'
loop_
_atom_site_label
_atom_site_type_symbol
_atom_site_fract_x
_atom_site_fract_y
_atom_site_fract_z
Mn1 Mn 0.162 0.338 0.000
Mn2 Mn 0.338 0.838 0.000
Mn3 Mn 0.662 0.162 0.000
Mn4 Mn 0.838 0.662 0.000
In1 In 0.000 0.000 0.500
In2 In 0.500 0.500 0.500
Fe1 Fe 0.123 0.623 0.500
Fe2 Fe 0.377 0.123 0.500
Fe3 Fe 0.623 0.877 0.500
Fe4 Fe 0.877 0.377 0.500
```

***

Entry 2:
Here is a geometry-optimized MnInFe3 structure from Alexandria. Energies are from PBE-GGA.

Summary:
- N(E_F): 7.17 states/eV/cell
- Formation energy from the elements: 0.96 eV/atom

Cell and atoms, written as CIF:
```
data_MnInFe3
_chemical_formula_sum 'Mn1 In1 Fe3'
_cell_length_a 4.283
_cell_length_b 4.283
_cell_length_c 4.283
_cell_angle_alpha 90.00
_cell_angle_beta 90.00
_cell_angle_gamma 90.00
_symmetry_space_group_name_H-M 'P 1'
_symmetry_Int_Tables_number 1
loop_
_symmetry_equiv_pos_as_xyz
'x,y,z'
loop_
_atom_site_label
_atom_site_type_symbol
_atom_site_fract_x
_atom_site_fract_y
_atom_site_fract_z
Mn1 Mn 0.000 0.000 0.000
In1 In 0.500 0.500 0.500
Fe1 Fe 0.000 0.000 0.500
Fe2 Fe 0.000 0.500 0.000
Fe3 Fe 0.500 0.000 0.000
```

***

Entry 3:
Here is a geometry-optimized MnIn2Fe2 structure from Alexandria. Energies are from PBE-GGA.

Summary:
- N(E_F): 13.54 states/eV/cell
- Formation energy from the elements: 0.43 eV/atom

Cell and atoms, written as CIF:
```
data_MnIn2Fe2
_chemical_formula_sum 'Mn2 In4 Fe4'
_cell_length_a 6.010
_cell_length_b 6.010
_cell_length_c 4.204
_cell_angle_alpha 90.00
_cell_angle_beta 90.00
_cell_angle_gamma 90.00
_symmetry_space_group_name_H-M 'P 1'
_symmetry_Int_Tables_number 1
loop_
_symmetry_equiv_pos_as_xyz
'x,y,z'
loop_
_atom_site_label
_atom_site_type_symbol
_atom_site_fract_x
_atom_site_fract_y
_atom_site_fract_z
Mn1 Mn 0.000 0.000 0.000
Mn2 Mn 0.500 0.500 0.000
In1 In 0.178 0.322 0.500
In2 In 0.322 0.822 0.500
In3 In 0.678 0.178 0.500
In4 In 0.822 0.678 0.500
Fe1 Fe 0.132 0.632 0.000
Fe2 Fe 0.368 0.132 0.000
Fe3 Fe 0.632 0.868 0.000
Fe4 Fe 0.868 0.368 0.000
```

***

Entry 4:
Here is a geometry-optimized MnInFe2N structure from Alexandria. Energies are from PBE-GGA.

Summary:
- N(E_F): 5.63 states/eV/cell
- Formation energy (no corrections): -0.0574 eV per atom

Cell and atoms, written as CIF:
```
data_MnInFe2N
_chemical_formula_sum 'Mn1 In1 Fe2 N1'
_cell_length_a 3.910
_cell_length_b 3.910
_cell_length_c 3.886
_cell_angle_alpha 90.00
_cell_angle_beta 90.00
_cell_angle_gamma 90.00
_symmetry_space_group_name_H-M 'P 1'
_symmetry_Int_Tables_number 1
loop_
_symmetry_equiv_pos_as_xyz
'x,y,z'
loop_
_atom_site_label
_atom_site_type_symbol
_atom_site_fract_x
_atom_site_fract_y
_atom_site_fract_z
Mn1 Mn 0.000 0.000 0.000
In1 In 0.500 0.500 0.000
Fe1 Fe 0.000 0.500 0.500
Fe2 Fe 0.500 0.000 0.500
N1 N 0.000 0.000 0.500
```

***

Entry 5:
Here is a geometry-optimized MnNb2InFe structure from Alexandria. Energies are from PBE-GGA.

Summary:
- N(E_F): 7.49 states/eV/cell
- Formation energy from the elements: 2.30 eV/atom

Cell and atoms, written as CIF:
```
data_MnNb2InFe
_chemical_formula_sum 'Mn1 Nb2 In1 Fe1'
_cell_length_a 4.981
_cell_length_b 4.981
_cell_length_c 4.446
_cell_angle_alpha 90.00
_cell_angle_beta 90.00
_cell_angle_gamma 90.00
_symmetry_space_group_name_H-M 'P 1'
_symmetry_Int_Tables_number 1
loop_
_symmetry_equiv_pos_as_xyz
'x,y,z'
loop_
_atom_site_label
_atom_site_type_symbol
_atom_site_fract_x
_atom_site_fract_y
_atom_site_fract_z
Mn1 Mn 0.000 0.000 0.000
Nb1 Nb 0.000 0.500 0.500
Nb2 Nb 0.500 0.000 0.500
In1 In 0.500 0.500 0.500
Fe1 Fe 0.500 0.500 0.000
```

***

Entry 6:
Here is a geometry-optimized NpMnInFe structure from Alexandria. Energies are from PBE-GGA.

Summary:
- N(E_F): 8.98 states/eV/cell
- Formation energy from the elements: 0.19 eV/atom

Cell and atoms, written as CIF:
```
data_NpMnInFe
_chemical_formula_sum 'Np1 Mn1 In1 Fe1'
_cell_length_a 4.597
_cell_length_b 4.597
_cell_length_c 4.597
_cell_angle_alpha 60.00
_cell_angle_beta 60.00
_cell_angle_gamma 60.00
_symmetry_space_group_name_H-M 'P 1'
_symmetry_Int_Tables_number 1
loop_
_symmetry_equiv_pos_as_xyz
'x,y,z'
loop_
_atom_site_label
_atom_site_type_symbol
_atom_site_fract_x
_atom_site_fract_y
_atom_site_fract_z
Np1 Np 0.000 0.000 0.000
Mn1 Mn 0.250 0.250 0.250
In1 In 0.500 0.500 0.500
Fe1 Fe 0.750 0.750 0.750
```

***

Entry 7:
Here is a geometry-optimized MnIn2FePd structure from Alexandria. Energies are from PBE-GGA.

Summary:
- N(E_F): 4.04 states/eV/cell
- Formation energy from the elements: 0.68 eV/atom

Cell and atoms, written as CIF:
```
data_MnIn2FePd
_chemical_formula_sum 'Mn1 In2 Fe1 Pd1'
_cell_length_a 4.895
_cell_length_b 4.895
_cell_length_c 4.715
_cell_angle_alpha 90.00
_cell_angle_beta 90.00
_cell_angle_gamma 90.00
_symmetry_space_group_name_H-M 'P 1'
_symmetry_Int_Tables_number 1
loop_
_symmetry_equiv_pos_as_xyz
'x,y,z'
loop_
_atom_site_label
_atom_site_type_symbol
_atom_site_fract_x
_atom_site_fract_y
_atom_site_fract_z
Mn1 Mn 0.000 0.000 0.000
In1 In 0.000 0.500 0.500
In2 In 0.500 0.000 0.500
Fe1 Fe 0.500 0.500 0.500
Pd1 Pd 0.500 0.500 0.000
```

***

Entry 8:
Here is a geometry-optimized MnInFe2Pd structure from Alexandria. Energies are from PBE-GGA.

Summary:
- N(E_F): 7.45 states/eV/cell
- Formation energy from the elements: 1.53 eV/atom

Cell and atoms, written as CIF:
```
data_MnInFe2Pd
_chemical_formula_sum 'Mn1 In1 Fe2 Pd1'
_cell_length_a 4.742
_cell_length_b 4.742
_cell_length_c 4.879
_cell_angle_alpha 90.00
_cell_angle_beta 90.00
_cell_angle_gamma 90.00
_symmetry_space_group_name_H-M 'P 1'
_symmetry_Int_Tables_number 1
loop_
_symmetry_equiv_pos_as_xyz
'x,y,z'
loop_
_atom_site_label
_atom_site_type_symbol
_atom_site_fract_x
_atom_site_fract_y
_atom_site_fract_z
Mn1 Mn 0.000 0.000 0.000
In1 In 0.000 0.000 0.500
Fe1 Fe 0.000 0.500 0.500
Fe2 Fe 0.500 0.000 0.500
Pd1 Pd 0.500 0.500 0.000
```